A plane-wave DFT calculation with GGA-PBE was carried out for a relaxed La5Nd6Th crystal.

## Properties
Total moment ... 0.0 μB per formula unit
Formation enthalpy at 0 K ... 0.0270 eV per atom
Total DFT energy (no corrections) ... -5.03 eV/atom
DOS at the Fermi energy ... 1.857 states/eV per atom

Unit cell a=5.2306 b=9.7850 c=9.7850 alpha=106.81 beta=105.50 gamma=105.50
Last column: nearest neighbours and their distance in Å.
Positions (direct):
Nd (0.2450, 0.0808, 0.4091)  1 Th 3.63, 7 La 3.66-3.80, 4 Nd 3.67-3.76
Nd (0.7550, 0.5909, 0.9192)  1 Th 3.63, 7 La 3.66-3.80, 4 Nd 3.67-3.76
Nd (0.7409, 0.2408, 0.2408)  6 La 3.58-3.76, 2 Th 3.62-3.63, 4 Nd 3.67
Nd (0.2591, 0.7592, 0.7592)  6 La 3.58-3.76, 2 Th 3.62-3.63, 4 Nd 3.67
Nd (0.2450, 0.4091, 0.0808)  1 Th 3.63, 7 La 3.66-3.80, 4 Nd 3.67-3.76
Nd (0.7550, 0.9192, 0.5909)  1 Th 3.63, 7 La 3.66-3.80, 4 Nd 3.67-3.76
Th (0.0000, 0.0000, 0.0000)  8 Nd 3.62-3.63, 4 La 3.66
La (0.5000, 0.1628, 0.8372)  8 Nd 3.58-3.80, 2 Th 3.66, 2 La 3.76
La (0.0000, 0.3346, 0.6654)  4 La 3.69-3.76, 8 Nd 3.70-3.75
La (0.5000, 0.5000, 0.5000)  4 La 3.69, 8 Nd 3.70-3.76
La (0.0000, 0.6654, 0.3346)  4 La 3.69-3.76, 8 Nd 3.70-3.75
La (0.5000, 0.8372, 0.1628)  8 Nd 3.58-3.80, 2 Th 3.66, 2 La 3.76